Entry 1:
{"formula": "ScInRh2", "functional": "PBE-GGA", "state": "optimized geometry", "lattice_angstrom": [[3.545, 0.000, 0.000], [0.000, 3.545, 0.000], [0.000, 0.000, 5.614]], "species": ["Sc", "In", "Rh", "Rh"], "frac_coords": [[0.000, 0.000, 0.000], [0.500, 0.500, 0.324], [0.000, 0.000, 0.518], [0.500, 0.500, 0.825]], "space_group": "P4mm (99)", "delta_e_f_ev_per_fu": -2.04}



Entry 2:
{"formula": "BeAlSi", "functional": "PBE-GGA", "state": "optimized geometry", "lattice_angstrom": [[3.450, -2.137, 0.000], [3.450, 2.137, 0.000], [-0.159, 0.000, 6.177]], "species": ["Be", "Be", "Al", "Al", "Si", "Si"], "frac_coords": [[0.249, 0.751, 0.000], [0.751, 0.249, 0.000], [0.158, 0.158, 0.616], [0.842, 0.842, 0.384], [0.251, 0.251, 0.192], [0.749, 0.749, 0.808]], "space_group": "C2/m (12)", "raw_formation_energy_ev_per_atom": 0.181}



Entry 3:
{"formula": "YBe2BOs", "functional": "PBE-GGA", "state": "optimized geometry", "lattice_angstrom": [[-1.756, 1.797, 5.151], [1.756, -1.797, 5.151], [1.756, 1.797, -5.151]], "species": ["Y", "Be", "Be", "B", "Os"], "frac_coords": [[0.000, 0.000, 0.000], [0.628, 0.628, 0.000], [0.766, 0.266, 0.500], [0.382, 0.382, 0.000], [0.263, 0.763, 0.500]], "space_group": "Imm2 (44)", "delta_e_f_ev_per_fu": -1.23}



Entry 4:
{"formula": "RbPmCuO3", "functional": "PBE-GGA", "state": "optimized geometry", "lattice_angstrom": [[6.535, -1.969, 0.000], [6.535, 1.969, 0.000], [-1.932, 0.000, 7.488]], "species": ["Rb", "Rb", "Pm", "Pm", "Cu", "Cu", "O", "O", "O", "O", "O", "O"], "frac_coords": [[0.142, 0.142, 0.062], [0.858, 0.858, 0.938], [0.149, 0.149, 0.574], [0.851, 0.851, 0.426], [0.491, 0.491, 0.699], [0.509, 0.509, 0.301], [0.008, 0.008, 0.309], [0.335, 0.335, 0.625], [0.356, 0.356, 0.242], [0.644, 0.644, 0.758], [0.665, 0.665, 0.375], [0.992, 0.992, 0.691]], "space_group": "C2/m (12)", "raw_formation_energy_ev_per_atom": -1.966}



Entry 5:
{"formula": "Cr2OsRu", "functional": "PBE-GGA", "state": "optimized geometry", "lattice_angstrom": [[4.317, -1.333, 0.000], [4.317, 1.333, 0.000], [-0.824, 0.000, 4.566]], "species": ["Cr", "Cr", "Os", "Ru"], "frac_coords": [[0.250, 0.250, 0.248], [0.750, 0.750, 0.752], [0.000, 0.000, 0.500], [0.500, 0.500, 0.000]], "space_group": "C2/m (12)", "delta_e_f_ev_per_fu": 0.61}



Entry 6:
{"formula": "Na3BeCo", "functional": "PBE-GGA", "state": "optimized geometry", "lattice_angstrom": [[5.286, 0.000, 0.000], [0.000, 5.286, 0.000], [0.000, 0.000, 5.286]], "species": ["Na", "Na", "Na", "Be", "Co"], "frac_coords": [[0.000, 0.000, 0.500], [0.000, 0.500, 0.000], [0.500, 0.000, 0.000], [0.500, 0.500, 0.500], [0.000, 0.000, 0.000]], "space_group": "Pm-3m (221)", "delta_e_f_ev_per_fu": 6.48}



Entry 7:
{"formula": "Si2PtW", "functional": "PBE-GGA", "state": "optimized geometry", "lattice_angstrom": [[1.468, 0.847, 7.980], [-1.468, 0.847, 7.980], [0.000, -1.695, 7.980]], "species": ["Si", "Si", "Pt", "W"], "frac_coords": [[0.000, 0.000, 0.000], [0.255, 0.255, 0.255], [0.512, 0.512, 0.512], [0.750, 0.750, 0.750]], "space_group": "R3m (160)", "raw_formation_energy_ev_per_atom": -0.004}



Entry 8:
{"formula": "Pu3PaSb5", "functional": "PBE-GGA", "state": "optimized geometry", "lattice_angstrom": [[9.517, 0.000, 0.000], [-4.758, 8.242, 0.000], [0.000, 0.000, 6.170]], "species": ["Pu", "Pu", "Pu", "Pu", "Pu", "Pu", "Pa", "Pa", "Sb", "Sb", "Sb", "Sb", "Sb", "Sb", "Sb", "Sb", "Sb", "Sb"], "frac_coords": [[0.000, 0.385, 0.250], [0.000, 0.615, 0.750], [0.385, 0.000, 0.250], [0.385, 0.385, 0.750], [0.615, 0.000, 0.750], [0.615, 0.615, 0.250], [0.000, 0.000, 0.000], [0.000, 0.000, 0.500], [0.000, 0.280, 0.750], [0.000, 0.720, 0.250], [0.280, 0.000, 0.750], [0.280, 0.280, 0.250], [0.333, 0.667, 0.000], [0.333, 0.667, 0.500], [0.667, 0.333, 0.000], [0.667, 0.333, 0.500], [0.720, 0.000, 0.250], [0.720, 0.720, 0.750]], "space_group": "P6_3/mcm (193)", "raw_formation_energy_ev_per_atom": -0.604}



| no. | Fermi-level density of states (states/eV/atom) | final energy (eV per atom) |
| --- | --- | --- |
| 1 | 0.598 | -6.454 |
| 2 | 0.174 | -4.116 |
| 3 | 0.579 | -6.610 |
| 4 | 0.213 | -6.081 |
| 5 | 1.254 | -9.786 |
| 6 | 2.580 | -1.661 |
| 7 | 0.689 | -7.464 |
| 8 | 3.563 | -8.727 |